Below is a relaxed structure of Ac2NiH, with properties calculated at the PBE-GGA level.

a = 3.5712 Å, b = 3.5712 Å, c = 7.4174 Å
α = 90.00°, β = 90.00°, γ = 90.00°
Space group P4/mmm (No. 123)
Asymmetric unit:
Ac (0.0000, 0.0000, 0.2478) [2 per cell]
Ni (0.5000, 0.5000, 0.0000) [1 per cell]
H (0.5000, 0.5000, 0.5000) [1 per cell]

E above lowest polymorph = 253 meV/atom
N(E_F) = 3.4 states/eV/cell

=====

Below is a relaxed structure of LiAu2Se, with properties calculated at the PBE-GGA level.

a = 4.0159 Å, b = 4.0159 Å, c = 4.3962 Å
α = 90.00°, β = 90.00°, γ = 90.00°
Space group P4/mmm (No. 123)
Asymmetric unit:
Li (0.0000, 0.0000, 0.0000) [1 per cell]
Au (0.0000, 0.5000, 0.5000) [2 per cell]
Se (0.5000, 0.5000, 0.0000) [1 per cell]

E above lowest polymorph = 18 meV/atom
uncorrected formation energy = -1.18 eV/f.u.
N(E_F) = 1.7 states/eV/cell

=====

Below is a relaxed structure of LiPdI2, with properties calculated at the PBE-GGA level.

a = 6.2590 Å, b = 6.2590 Å, c = 13.0065 Å
α = 90.00°, β = 90.00°, γ = 90.00°
Space group I-42d (No. 122)
Asymmetric unit:
Li (0.0000, 0.0000, 0.0000) [4 per cell]
Pd (0.0000, 0.0000, 0.5000) [4 per cell]
I (0.2416, 0.2500, 0.6250) [8 per cell]

E above lowest polymorph = 0 meV/atom
uncorrected formation energy = -1.96 eV/f.u.
N(E_F) = 24.5 states/eV/cell

=====

Q: Which value of E above lowest polymorph does entry 1 give?
A: 253 meV/atom